[1]
# YScMo3 | Alexandria | PBE | relaxed
# Formation energy ... 1.456 eV per atom
# Excess energy over the best structure of this formula in the dataset ... 0 meV/atom
# VASP energy ... -38.0 eV per cell
# Total magnetization ... 0.178 μB per atom
data_YScMo3
_symmetry_space_group_name_H-M 'P 1'
_symmetry_Int_Tables_number 1
_symmetry_space_group_name_Hall 'P 1'
_cell_length_a 4.7513
_cell_length_b 4.7513
_cell_length_c 4.7513
_cell_angle_alpha 90.00
_cell_angle_beta 90.00
_cell_angle_gamma 90.00
loop_
_atom_site_label
_atom_site_fract_x
_atom_site_fract_y
_atom_site_fract_z
_atom_site_occupancy
Y1 0.0000 0.0000 0.0000 1
Sc1 0.5000 0.5000 0.5000 1
Mo1 0.0000 0.5000 0.5000 1
Mo2 0.5000 0.0000 0.5000 1
Mo3 0.5000 0.5000 0.0000 1

---

[2]
# Y4ScMo | Alexandria | PBE | relaxed
# Formation energy ... 0.806 eV per atom
# VASP energy ... -38.2 eV per cell
# Total magnetization ... 0.671 μB per atom
data_Y4ScMo
_symmetry_space_group_name_H-M 'P 1'
_symmetry_Int_Tables_number 1
_symmetry_space_group_name_Hall 'P 1'
_cell_length_a 6.2409
_cell_length_b 6.2409
_cell_length_c 6.2409
_cell_angle_alpha 60.00
_cell_angle_beta 60.00
_cell_angle_gamma 60.00
loop_
_atom_site_label
_atom_site_fract_x
_atom_site_fract_y
_atom_site_fract_z
_atom_site_occupancy
Y1 0.1243 0.1243 0.1243 1
Y2 0.1243 0.1243 0.6272 1
Y3 0.1243 0.6272 0.1243 1
Y4 0.6272 0.1243 0.1243 1
Sc1 0.5000 0.5000 0.5000 1
Mo1 0.7500 0.7500 0.7500 1